[1]
Material: GeAuIBr2
Method: DFT, PBE
State: optimized geometry

Cell: 5.1521 5.1521 5.6665 Å, 90.00 90.00 90.00°
Last column: nearest neighbours and their distance in Å.
Space group P4/mmm (No. 123)
One atom of each set of equivalent atoms:
Ge  0.0000  0.0000  0.0000 x1  2 Au 2.83
Au  0.0000  0.0000  0.5000 x1  4 Br 2.58, 2 Ge 2.83
I  0.5000  0.5000  0.0000 x1  4 Ge 3.64, 8 Br 3.83
Br  0.0000  0.5000  0.5000 x2  2 Au 2.58

Summary:
Total DFT energy (no corrections) = -2.36 eV/atom
Volume = 30.08 Å³/atom
Formation energy from raw total energies = 0.20 eV/atom

[2]
Material: LaGaN2O
Method: DFT, PBE
State: optimized geometry

Cell: 4.9412 4.9412 4.4611 Å, 90.00 90.00 90.00°
Last column: nearest neighbours and their distance in Å.
Space group P4/mmm (No. 123)
One atom of each set of equivalent atoms:
La  0.0000  0.0000  0.0000 x1  2 O 2.23, 4 N 2.47
Ga  0.5000  0.5000  0.5000 x1  8 N 3.33, 4 O 3.49
N  0.0000  0.5000  0.0000 x2  2 La 2.47
O  0.0000  0.0000  0.5000 x1  2 La 2.23

Summary:
Total DFT energy (no corrections) = -5.48 eV/atom
Volume = 21.78 Å³/atom
Formation energy from raw total energies = 0.43 eV/atom

[3]
Material: Pm2AlGa6Cu
Method: DFT, PBE
State: optimized geometry

Cell: 6.3634 6.3634 35.1653 Å, 90.00 90.00 120.00°
Last column: nearest neighbours and their distance in Å.
Space group R-3m (No. 166, hexagonal axes)
One atom of each set of equivalent atoms:
Pm  0.0000  0.0000  0.1187 x6  12 Ga 3.21-3.54
Pm  0.0000  0.0000  0.3002 x6  12 Ga 3.21-3.47
Al  0.0000  0.0000  0.0000 x3  6 Ga 2.61
Al  0.0000  0.0000  0.5000 x3  2 Cu 2.38
Ga  0.0391  0.5196  0.2876 x18  1 Cu 2.47, 1 Al 2.61
Ga  0.0707  0.5354  0.8773 x18  1 Cu 2.38, 2 Ga 2.51
Cu  0.0000  0.0000  0.4322 x6  6 Ga 2.38-2.47, 1 Al 2.38

Summary:
Total DFT energy (no corrections) = -3.84 eV/atom
Volume = 20.55 Å³/atom
Calculated formation energy = -0.29 eV/atom

no.,calculated density (g/cm3)
1,6.142
2,3.852
3,6.454